VASP calculation (PBE with a Hubbard U) on an optimized crystal structure of RhWO2.

E_tot: -6.478 eV/atom
relative energy among the computed polymorphs: 392 meV per atom

```
data_RhWO2
_space_group_name_H-M_alt 'R -3 m'
_space_group_IT_number 166
_space_group_name_Hall '-R 3 2"'
_cell_length_a 3.1143
_cell_length_b 3.1143
_cell_length_c 18.7555
_cell_angle_alpha 90.00
_cell_angle_beta 90.00
_cell_angle_gamma 120.00
loop_
_atom_site_label
_atom_site_type_symbol
_atom_site_fract_x
_atom_site_fract_y
_atom_site_fract_z
_atom_site_occupancy
Rh1 Rh 0.0000 0.0000 0.0000 1
W1 W 0.0000 0.0000 0.5000 1
O1 O 0.0000 0.0000 0.3872 1
```